Compound: FeTcGePt2
Source: Alexandria
Functional: SCAN
Structure: single point on PBEsol structure

Values from the calculation:
As for the space group: No. 123. The total magnetization comes out at 0.481 μB per atom. Its formation energy is 120 kJ/mol of atoms. The value obtained for the density of states at the Fermi level is 0.691 states/eV per atom.

Unit cell a=4.7853 b=4.7853 c=4.2812 alpha=90.00 beta=90.00 gamma=90.00
With the nearest neighbours (Å) after each atom.
Fractional positions:
Fe 0.0000 0.0000 0.0000  2 Tc 2.14
Tc 0.0000 0.0000 0.5000  2 Fe 2.14, 4 Pt 2.39
Ge 0.5000 0.5000 0.0000  8 Pt 3.21, 4 Fe 3.38
Pt 0.0000 0.5000 0.5000  2 Tc 2.39
Pt 0.5000 0.0000 0.5000  2 Tc 2.39